## w
This record from Alexandria via LeMat-Bulk describes a geometry-optimized HoBePd2 structure. The functional is PBE-GGA.

Crystal system: orthorhombic
Density, g/cm³: 9.4
Density of states at the Fermi level, states/eV/cell: 3.00

```
HoBePd2
1.0
-1.251 2.104 3.026
-3.104 1.413 -2.266
-3.317 -7.290 3.699
Be Ho Pd
2 2 4
Cartesian
-4.811 -4.607 3.719
-2.861 0.834 0.740
-5.013 -3.973 0.691
-1.408 -1.904 0.742
-4.120 -0.868 1.404
-0.625 1.052 1.513
-3.552 -2.904 3.055
-1.552 0.706 -1.133
```



## x
This record from Alexandria via LeMat-Bulk describes a geometry-optimized HoBePd2 structure. The functional is PBE-GGA.

Crystal system: trigonal
Density, g/cm³: 9.2
Density of states at the Fermi level, states/eV/cell: 1.86

```
HoBePd2
1.0
4.113 0.000 0.000
2.056 3.562 0.000
2.056 1.187 4.772
Pd Be Ho
2 1 1
Cartesian
6.169 3.562 4.113
2.056 1.187 0.659
0.000 0.000 0.000
4.113 2.374 2.386
```



Quick one: least stable of them? x



## w
This record from Alexandria via LeMat-Bulk describes a geometry-optimized Pm2HoBe structure. The functional is PBE-GGA.

Crystal system: tetragonal
Density, g/cm³: 7.1
Density of states at the Fermi level, states/eV/cell: 4.39

```
Pm2HoBe
1.0
-3.132 1.519 -0.741
0.200 -1.216 -3.339
-4.045 -7.180 2.372
Pm Ho Be
2 1 1
Cartesian
-0.800 -1.420 0.469
-3.244 -5.759 1.903
-3.488 -3.438 -0.854
-1.466 0.152 -2.040
```



## x
This record from Alexandria via LeMat-Bulk describes a geometry-optimized Pm2HoBe structure. The functional is PBE-GGA.

Crystal system: trigonal
Density, g/cm³: 6.4
Density of states at the Fermi level, states/eV/cell: 4.39

```
Pm2HoBe
1.0
-2.900 0.110 1.894
-0.022 -1.303 3.211
2.169 9.932 5.917
Pm Ho Be
2 1 1
Cartesian
-2.126 1.424 6.174
1.373 7.314 4.848
-0.377 4.369 5.511
0.000 0.000 0.000
```



Quick one: least stable of them? x



## w
This record from Alexandria via LeMat-Bulk describes a geometry-optimized PmHo2Be structure. The functional is PBE-GGA.

Crystal system: trigonal
Density, g/cm³: 6.8
Density of states at the Fermi level, states/eV/cell: 4.50

```
PmHo2Be
1.0
3.459 0.000 0.000
1.730 2.996 0.000
1.730 0.999 11.398
Pm Ho Be
1 2 1
Cartesian
3.459 1.997 5.699
1.730 0.999 8.539
5.189 2.996 2.859
0.000 0.000 0.000
```



## x
This record from Alexandria via LeMat-Bulk describes a geometry-optimized PmHo2Be structure. The functional is PBE-GGA.

Crystal system: tetragonal
Density, g/cm³: 7.7
Density of states at the Fermi level, states/eV/cell: 4.36

```
PmHo2Be
1.0
3.456 0.000 0.000
0.000 3.456 0.000
0.000 0.000 8.700
Ho Be Pm
2 1 1
Cartesian
0.000 0.000 1.647
0.000 0.000 7.053
1.728 1.728 0.000
1.728 1.728 4.350
```



Quick one: least stable of them? w



## w
This record from Alexandria via LeMat-Bulk describes a geometry-optimized Ho2PuBe structure. The functional is PBE-GGA.

Crystal system: tetragonal
Density, g/cm³: 9.9
Density of states at the Fermi level, states/eV/cell: 8.88

```
Ho2PuBe
1.0
3.399 0.000 0.000
0.000 3.399 0.000
0.000 0.000 8.437
Ho Pu Be
2 1 1
Cartesian
0.000 0.000 6.793
0.000 0.000 1.645
1.699 1.699 4.219
1.699 1.699 0.000
```



## x
This record from Alexandria via LeMat-Bulk describes a geometry-optimized Ho2PuBe structure. The functional is PBE-GGA.

Crystal system: trigonal
Density, g/cm³: 9.1
Density of states at the Fermi level, states/eV/cell: 10.39

```
Ho2PuBe
1.0
3.390 0.000 0.000
1.695 2.936 0.000
1.695 0.979 10.691
Ho Pu Be
2 1 1
Cartesian
5.085 2.936 3.359
1.695 0.979 7.333
0.000 0.000 0.000
3.390 1.957 5.346
```



Quick one: least stable of them? x



## w
This record from Alexandria via LeMat-Bulk describes a geometry-optimized HoBeRh structure. The functional is PBE-GGA.

Crystal system: orthorhombic
Density, g/cm³: 9.2
Density of states at the Fermi level, states/eV/cell: 6.46

```
HoBeRh
1.0
4.158 0.000 0.000
0.000 7.095 0.000
0.000 0.000 6.771
Rh Ho Be
4 4 4
Cartesian
3.119 4.069 2.209
1.040 3.025 4.562
3.119 6.573 5.595
1.040 0.522 1.176
1.040 4.928 6.731
1.040 5.715 3.346
3.119 2.167 0.040
3.119 1.380 3.425
1.040 2.901 2.160
3.119 4.194 4.611
1.040 0.646 5.546
3.119 6.449 1.225
```



## x
This record from Alexandria via LeMat-Bulk describes a geometry-optimized HoBeRh structure. The functional is PBE-GGA.

Crystal system: hexagonal
Density, g/cm³: 9.0
Density of states at the Fermi level, states/eV/cell: 5.47

```
HoBeRh
1.0
3.891 0.000 0.000
0.000 6.731 0.000
0.000 -3.366 5.829
Ho Be Rh
3 3 3
Cartesian
0.000 1.965 3.404
0.000 -1.400 2.425
0.000 2.800 0.000
1.946 -2.621 4.539
1.946 0.745 1.290
1.946 5.241 0.000
1.946 3.366 1.943
0.000 0.000 0.000
1.946 0.000 3.886
```



Quick one: least stable of them? x



## w
This record from Alexandria via LeMat-Bulk describes a geometry-optimized HoBeRh structure. The functional is PBE-GGA.

Crystal system: hexagonal
Density, g/cm³: 8.8
Density of states at the Fermi level, states/eV/cell: 1.58

```
HoBeRh
1.0
-0.720 -1.124 3.703
2.502 -2.986 -0.420
1.286 3.464 1.302
Ho Be Rh
1 1 1
Cartesian
1.211 0.565 3.197
1.976 -1.023 0.771
-0.120 -0.187 0.617
```



## x
This record from Alexandria via LeMat-Bulk describes a geometry-optimized HoBeRh structure. The functional is PBE-GGA.

Crystal system: orthorhombic
Density, g/cm³: 9.6
Density of states at the Fermi level, states/eV/cell: 3.10

```
HoBeRh
1.0
-1.747 3.754 2.756
-1.014 -0.799 4.933
3.157 2.423 3.189
Be Rh Ho
2 2 2
Cartesian
-0.873 1.877 1.378
0.000 0.000 0.000
0.705 3.089 2.973
-1.381 1.478 3.845
-0.731 3.897 5.449
1.127 1.481 5.429
```



Quick one: least stable of them? x



## w
This record from Alexandria via LeMat-Bulk describes a geometry-optimized Ho2BeRh2 structure. The functional is PBE-GGA.

Crystal system: monoclinic
Density, g/cm³: 9.7
Density of states at the Fermi level, states/eV/cell: 5.29

```
Ho2BeRh2
1.0
5.743 0.384 0.001
2.938 4.949 0.001
1.286 0.790 6.846
Ho Rh Be
4 4 2
Cartesian
3.628 1.403 1.017
6.432 3.125 2.408
6.338 4.721 5.831
3.534 2.998 4.440
7.875 5.636 3.493
7.944 4.083 0.070
2.022 2.040 6.779
2.091 0.487 3.355
3.551 4.672 1.713
6.415 1.451 5.136
```



## x
This record from Alexandria via LeMat-Bulk describes a geometry-optimized Ho2BeRh2 structure. The functional is PBE-GGA.

Crystal system: orthorhombic
Density, g/cm³: 9.4
Density of states at the Fermi level, states/eV/cell: 6.69

```
Ho2BeRh2
1.0
5.203 0.000 -2.237
-1.132 5.212 -2.632
-0.061 0.142 7.027
Rh Ho Be
4 4 2
Cartesian
1.288 3.057 2.995
-0.301 4.240 -0.699
4.311 1.114 2.857
2.723 2.297 -0.836
1.812 0.339 4.214
0.325 1.663 0.755
3.686 3.691 1.403
2.198 5.014 -2.056
3.336 2.606 -2.994
0.735 2.606 -1.875
```



Quick one: least stable of them? x



## w
This record from Alexandria via LeMat-Bulk describes a geometry-optimized HoSc2Be structure. The functional is PBE-GGA.

Crystal system: trigonal
Density, g/cm³: 4.5
Density of states at the Fermi level, states/eV/cell: 5.29

```
HoSc2Be
1.0
-0.002 -1.461 -2.877
-2.335 -2.099 -0.742
-6.744 6.897 -5.306
Sc Ho Be
2 1 1
Cartesian
-3.832 -1.534 -4.646
-5.249 4.871 -4.279
-4.540 1.669 -4.463
0.000 0.000 0.000
```



## x
This record from Alexandria via LeMat-Bulk describes a geometry-optimized HoSc2Be structure. The functional is PBE-GGA.

Crystal system: tetragonal
Density, g/cm³: 5.0
Density of states at the Fermi level, states/eV/cell: 4.22

```
HoSc2Be
1.0
3.243 0.000 0.000
0.000 3.243 0.000
0.000 0.000 8.292
Ho Sc Be
1 2 1
Cartesian
1.622 1.622 4.146
0.000 0.000 1.544
0.000 0.000 6.748
1.622 1.622 0.000
```



Quick one: least stable of them? w



## w
This record from Alexandria via LeMat-Bulk describes a geometry-optimized Ho2ScBe structure. The functional is PBE-GGA.

Crystal system: trigonal
Density, g/cm³: 6.1
Density of states at the Fermi level, states/eV/cell: 3.38

```
Ho2ScBe
1.0
3.311 0.000 0.000
1.656 2.868 0.000
1.656 0.956 11.085
Sc Ho Be
1 2 1
Cartesian
3.311 1.912 5.542
1.656 0.956 8.209
4.967 2.868 2.876
0.000 0.000 0.000
```



## x
This record from Alexandria via LeMat-Bulk describes a geometry-optimized Ho2ScBe structure. The functional is PBE-GGA.

Crystal system: tetragonal
Density, g/cm³: 6.7
Density of states at the Fermi level, states/eV/cell: 4.21

```
Ho2ScBe
1.0
3.406 0.000 0.000
0.000 3.406 0.000
0.000 0.000 8.177
Ho Be Sc
2 1 1
Cartesian
0.000 0.000 1.654
0.000 0.000 6.523
1.703 1.703 0.000
1.703 1.703 4.088
```



Quick one: least stable of them? w



## w
This record from Alexandria via LeMat-Bulk describes a geometry-optimized SmHo2Be structure. The functional is PBE-GGA.

Crystal system: tetragonal
Density, g/cm³: 7.9
Density of states at the Fermi level, states/eV/cell: 4.41

```
SmHo2Be
1.0
-1.770 2.020 2.174
-2.819 -0.354 -1.967
-2.324 -6.968 4.585
Ho Be Sm
2 1 1
Cartesian
-0.442 -1.327 0.873
-1.881 -5.641 3.712
-2.294 0.833 0.104
-3.456 -2.651 2.396
```



## x
This record from Alexandria via LeMat-Bulk describes a geometry-optimized SmHo2Be structure. The functional is PBE-GGA.

Crystal system: trigonal
Density, g/cm³: 6.9
Density of states at the Fermi level, states/eV/cell: 4.49

```
SmHo2Be
1.0
-0.546 -3.315 0.782
2.528 -1.879 1.407
-2.868 1.303 11.125
Ho Be Sm
2 1 1
Cartesian
-1.982 0.541 8.513
1.095 -4.432 4.801
0.000 0.000 0.000
-0.443 -1.946 6.657
```



Quick one: least stable of them? x



## w
This record from Alexandria via LeMat-Bulk describes a geometry-optimized Ho2ThBe structure. The functional is PBE-GGA.

Crystal system: trigonal
Density, g/cm³: 8.1
Density of states at the Fermi level, states/eV/cell: 4.19

```
Ho2ThBe
1.0
3.484 0.000 0.000
1.742 3.018 0.000
1.742 1.006 11.161
Ho Th Be
2 1 1
Cartesian
5.227 3.018 2.832
1.742 1.006 8.330
3.484 2.012 5.581
0.000 0.000 0.000
```



## x
This record from Alexandria via LeMat-Bulk describes a geometry-optimized Ho2ThBe structure. The functional is PBE-GGA.

Crystal system: tetragonal
Density, g/cm³: 9.3
Density of states at the Fermi level, states/eV/cell: 5.49

```
Ho2ThBe
1.0
-3.208 -1.133 -0.611
0.710 -0.191 -3.377
2.639 -8.016 1.008
Be Th Ho
1 1 2
Cartesian
-1.249 -0.662 -1.994
0.071 -4.670 -1.490
0.515 -1.566 0.197
2.123 -6.450 0.811
```



Quick one: least stable of them? w



## w
This record from Alexandria via LeMat-Bulk describes a geometry-optimized Ho2BeZn structure. The functional is PBE-GGA.

Crystal system: cubic
Density, g/cm³: 8.0
Density of states at the Fermi level, states/eV/cell: 3.88

```
Ho2BeZn
1.0
4.920 0.000 0.000
2.460 4.261 0.000
2.460 1.420 4.017
Be Zn Ho
1 1 2
Cartesian
0.000 0.000 0.000
4.920 2.841 2.009
2.460 1.420 1.004
7.380 4.261 3.013
```



## x
This record from Alexandria via LeMat-Bulk describes a geometry-optimized Ho2BeZn structure. The functional is PBE-GGA.

Crystal system: trigonal
Density, g/cm³: 6.8
Density of states at the Fermi level, states/eV/cell: 3.96

```
Ho2BeZn
1.0
3.357 0.000 0.000
1.679 2.907 0.000
1.679 0.969 10.158
Be Ho Zn
1 2 1
Cartesian
3.357 1.938 5.079
5.036 2.907 3.080
1.679 0.969 7.078
0.000 0.000 0.000
```



## y
This record from Alexandria via LeMat-Bulk describes a geometry-optimized Ho2BeZn structure. The functional is PBE-GGA.

Crystal system: tetragonal
Density, g/cm³: 8.1
Density of states at the Fermi level, states/eV/cell: 4.72

```
Ho2BeZn
1.0
-0.579 -3.033 -1.502
2.582 0.589 -2.185
4.504 -3.085 4.491
Ho Be Zn
2 1 1
Cartesian
1.050 -0.719 1.047
3.454 -2.365 3.444
1.002 -1.222 -1.844
3.254 -2.764 0.402
```



Quick one: least stable of them? x